Material: Er6Tm12Mg
Method: DFT, PBE-GGA
State: optimized geometry

Unit cell a=8.3522 b=8.3522 c=8.3522 alpha=88.56 beta=88.56 gamma=88.56
With the nearest neighbours (Å) after each atom.
Element x y z (fractional)
Er 0.2044 0.7614 0.5961  7 Tm 3.25-3.62, 1 Mg 3.35, 2 Er 3.39
Er 0.2386 0.4039 0.7956  7 Tm 3.25-3.62, 1 Mg 3.35, 2 Er 3.39
Er 0.4039 0.7956 0.2386  7 Tm 3.25-3.62, 1 Mg 3.35, 2 Er 3.39
Er 0.5961 0.2044 0.7614  7 Tm 3.25-3.62, 1 Mg 3.35, 2 Er 3.39
Er 0.7614 0.5961 0.2044  7 Tm 3.25-3.62, 1 Mg 3.35, 2 Er 3.39
Er 0.7956 0.2386 0.4039  7 Tm 3.25-3.62, 1 Mg 3.35, 2 Er 3.39
Tm 0.0391 0.9354 0.2790  6 Tm 3.24-3.56, 3 Er 3.25-3.38
Tm 0.0646 0.7210 0.9609  6 Tm 3.24-3.56, 3 Er 3.25-3.38
Tm 0.1361 0.4874 0.3145  4 Er 3.38-3.62, 4 Tm 3.42-3.55, 1 Mg 3.45
Tm 0.2790 0.0391 0.9354  6 Tm 3.24-3.56, 3 Er 3.25-3.38
Tm 0.3145 0.1361 0.4874  4 Er 3.38-3.62, 4 Tm 3.42-3.55, 1 Mg 3.45
Tm 0.4874 0.3145 0.1361  4 Er 3.38-3.62, 4 Tm 3.42-3.55, 1 Mg 3.45
Tm 0.5126 0.6855 0.8639  4 Er 3.38-3.62, 4 Tm 3.42-3.55, 1 Mg 3.45
Tm 0.6855 0.8639 0.5126  4 Er 3.38-3.62, 4 Tm 3.42-3.55, 1 Mg 3.45
Tm 0.7210 0.9609 0.0646  6 Tm 3.24-3.56, 3 Er 3.25-3.38
Tm 0.8639 0.5126 0.6855  4 Er 3.38-3.62, 4 Tm 3.42-3.55, 1 Mg 3.45
Tm 0.9354 0.2790 0.0391  6 Tm 3.24-3.56, 3 Er 3.25-3.38
Tm 0.9609 0.0646 0.7210  6 Tm 3.24-3.56, 3 Er 3.25-3.38
Mg 0.5000 0.5000 0.5000  6 Er 3.35, 6 Tm 3.45

Energy above the lowest structure with this stoichiometry, meV/atom: 0
ΔE_f, meV/atom: 145